DFT (PBE+U) results for an optimized crystal structure of VBiIO2.

Cell: 4.303 4.303 6.736 Å, 90.00 90.00 90.00°
Space group P4/mmm (No. 123)
Asymmetric unit:
V 0.000 0.000 0.000 x1
Bi 0.500 0.500 0.500 x1
I 0.500 0.500 0.000 x1
O 0.000 0.500 0.500 x2

Values from the calculation:
density of states at the Fermi level: 6.6 states/eV/cell
distance to the lowest polymorph of the same formula: 190.4 meV/atom
crystal system: tetragonal